Record 1
Density functional theory data (PBE-GGA) for a relaxed structure of RbSnS2Cl.

M_tot: 0.0 μB per formula unit
Mass density: 3.540 g/cm3
ΔE to the lowest computed polymorph: 0.000 eV per atom
E_tot: -18.66 eV for the cell shown
Space-group type: P4/mmm, No. 123
DOS at the Fermi energy: 0.1193 states/eV per atom

abc: 5.0545 5.0545 5.5768
angles: 90.00 90.00 90.00
Element x y z (fractional)
S: 0.5000 0.0000 0.0000
Rb: 0.5000 0.5000 0.5000
Sn: 0.0000 0.0000 0.0000
Cl: 0.0000 0.0000 0.5000
S: 0.0000 0.5000 0.0000

---

Record 2
Density functional theory data (PBE-GGA) for a relaxed structure of RbSnS2Cl.

M_tot: 0.5 μB per formula unit
Mass density: 3.017 g/cm3
ΔE to the lowest computed polymorph: 1.241 eV per atom
E_tot: -12.45 eV for the cell shown
Space-group type: P4/mmm, No. 123
DOS at the Fermi energy: 0.6061 states/eV per atom

abc: 5.4179 5.4179 5.6966
angles: 90.00 90.00 90.00
Element x y z (fractional)
Rb: 0.0000 0.0000 0.0000
Sn: 0.5000 0.5000 0.5000
Cl: 0.0000 0.0000 0.5000
S: 0.5000 0.0000 0.0000
S: 0.0000 0.5000 0.0000

---

Record 3
Density functional theory data (PBE-GGA) for a relaxed structure of RbSnSCl2.

M_tot: 0.0 μB per formula unit
Mass density: 3.339 g/cm3
ΔE to the lowest computed polymorph: 0.000 eV per atom
E_tot: -18.10 eV for the cell shown
Space-group type: P4/mmm, No. 123
DOS at the Fermi energy: 0.1350 states/eV per atom

abc: 5.5231 5.5231 5.0070
angles: 90.00 90.00 90.00
Element x y z (fractional)
S: 0.0000 0.0000 0.5000
Cl: 0.0000 0.5000 0.0000
Rb: 0.5000 0.5000 0.5000
Sn: 0.0000 0.0000 0.0000
Cl: 0.5000 0.0000 0.0000

---

Record 4
Density functional theory data (PBE-GGA) for a relaxed structure of RbSnSCl2.

M_tot: 0.0 μB per formula unit
Mass density: 2.912 g/cm3
ΔE to the lowest computed polymorph: 1.083 eV per atom
E_tot: -12.68 eV for the cell shown
Space-group type: P4/mmm, No. 123
DOS at the Fermi energy: 0.3720 states/eV per atom

abc: 5.7082 5.7082 5.3763
angles: 90.00 90.00 90.00
Element x y z (fractional)
Rb: 0.0000 0.0000 0.0000
S: 0.0000 0.0000 0.5000
Cl: 0.0000 0.5000 0.0000
Sn: 0.5000 0.5000 0.5000
Cl: 0.5000 0.0000 0.0000